(1)
## LiAlO2 (GGA-PBE)

Data for a geometry-optimized LiAlO2 structure.

Structure (CIF):
```
data_LiAlO2
_cell_length_a 2.815
_cell_length_b 2.815
_cell_length_c 5.248
_cell_angle_alpha 74.44
_cell_angle_beta 74.44
_cell_angle_gamma 60.00
_space_group_name_H-M_alt 'P 1'
_space_group_IT_number 1
loop_
_space_group_symop_operation_xyz
'x,y,z'
loop_
_atom_site_label
_atom_site_type_symbol
_atom_site_fract_x
_atom_site_fract_y
_atom_site_fract_z
O1 O 0.266 0.266 0.202
O2 O 0.071 0.071 0.787
Al1 Al 0.668 0.668 0.997
Li1 Li 0.496 0.496 0.513
```

Values from the calculation:
- Density of states at the Fermi level: 0.00 states/eV/cell
- Total energy: -26.175 eV/f.u.
- Volume: 8.563 Å³ per atom



(2)
## Pm2Th3Sc (GGA-PBE)

Data for a geometry-optimized Pm2Th3Sc structure.

Structure (CIF):
```
data_Pm2Th3Sc
_cell_length_a 6.724
_cell_length_b 11.215
_cell_length_c 7.573
_cell_angle_alpha 137.77
_cell_angle_beta 90.00
_cell_angle_gamma 90.00
_space_group_name_H-M_alt 'P 1'
_space_group_IT_number 1
loop_
_space_group_symop_operation_xyz
'x,y,z'
loop_
_atom_site_label
_atom_site_type_symbol
_atom_site_fract_x
_atom_site_fract_y
_atom_site_fract_z
Th1 Th 0.500 0.163 0.327
Th2 Th 0.500 0.500 0.000
Th3 Th 0.000 0.500 0.000
Th4 Th 0.500 0.837 0.673
Th5 Th 0.000 0.837 0.673
Th6 Th 0.000 0.163 0.327
Sc1 Sc 0.750 0.774 0.000
Sc2 Sc 0.250 0.226 0.000
Pm1 Pm 0.250 0.561 0.661
Pm2 Pm 0.250 0.900 0.339
Pm3 Pm 0.750 0.439 0.339
Pm4 Pm 0.750 0.100 0.661
```

Values from the calculation:
- Density of states at the Fermi level: 15.55 states/eV/cell
- Total energy: -36.861 eV/f.u.
- Energy relative to the elements: 0.205 eV/atom
- Volume: 31.979 Å³ per atom



(3)
## CaLaTl (GGA-PBE)

Data for a geometry-optimized CaLaTl structure.

Structure (CIF):
```
data_CaLaTl
_cell_length_a 4.045
_cell_length_b 8.944
_cell_length_c 5.688
_cell_angle_alpha 90.01
_cell_angle_beta 90.00
_cell_angle_gamma 103.07
_space_group_name_H-M_alt 'P 1'
_space_group_IT_number 1
loop_
_space_group_symop_operation_xyz
'x,y,z'
loop_
_atom_site_label
_atom_site_type_symbol
_atom_site_fract_x
_atom_site_fract_y
_atom_site_fract_z
Ca1 Ca 0.154 0.297 0.299
Ca2 Ca 0.459 0.908 0.299
La1 La 0.309 0.607 0.798
La2 La 0.615 0.221 0.799
Tl1 Tl 0.966 0.923 0.799
Tl2 Tl 0.795 0.579 0.298
```

Values from the calculation:
- Density of states at the Fermi level: 5.97 states/eV/cell
- Total energy: -10.068 eV/f.u.
- Energy relative to the elements: -0.258 eV/atom
- Volume: 33.413 Å³ per atom
- Offset from the most stable computed form: 140.6 meV/atom



(4)
## Mg2GaAgTe4 (GGA-PBE)

Data for a geometry-optimized Mg2GaAgTe4 structure.

Structure (CIF):
```
data_Mg2GaAgTe4
_cell_length_a 6.478
_cell_length_b 6.478
_cell_length_c 7.786
_cell_angle_alpha 114.59
_cell_angle_beta 114.59
_cell_angle_gamma 90.00
_space_group_name_H-M_alt 'P 1'
_space_group_IT_number 1
loop_
_space_group_symop_operation_xyz
'x,y,z'
loop_
_atom_site_label
_atom_site_type_symbol
_atom_site_fract_x
_atom_site_fract_y
_atom_site_fract_z
Ag1 Ag 0.000 0.000 0.999
Mg1 Mg 0.250 0.750 0.500
Mg2 Mg 0.750 0.250 0.500
Te1 Te 0.618 0.618 0.758
Te2 Te 0.140 0.140 0.758
Te3 Te 0.861 0.382 0.242
Te4 Te 0.382 0.861 0.242
Ga1 Ga 0.500 0.500 0.000
```

Values from the calculation:
- Total energy: -26.189 eV/f.u.
- Volume: 33.019 Å³ per atom



(5)
## TbCuNiPb (GGA-PBE)

Data for a geometry-optimized TbCuNiPb structure.

Structure (CIF):
```
data_TbCuNiPb
_cell_length_a 4.720
_cell_length_b 4.720
_cell_length_c 4.720
_cell_angle_alpha 60.00
_cell_angle_beta 60.00
_cell_angle_gamma 60.00
_space_group_name_H-M_alt 'P 1'
_space_group_IT_number 1
loop_
_space_group_symop_operation_xyz
'x,y,z'
loop_
_atom_site_label
_atom_site_type_symbol
_atom_site_fract_x
_atom_site_fract_y
_atom_site_fract_z
Cu1 Cu 0.500 0.500 0.500
Ni1 Ni 0.000 0.000 0.000
Pb1 Pb 0.250 0.250 0.250
Tb1 Tb 0.750 0.750 0.750
```

Values from the calculation:
- Density of states at the Fermi level: 2.99 states/eV/cell
- Total energy: -19.131 eV/f.u.
- Energy relative to the elements: -0.229 eV/atom
- Volume: 18.594 Å³ per atom



(6)
## Y2MnBi (GGA-PBE)

Data for a geometry-optimized Y2MnBi structure.

Structure (CIF):
```
data_Y2MnBi
_cell_length_a 8.052
_cell_length_b 8.052
_cell_length_c 6.490
_cell_angle_alpha 51.66
_cell_angle_beta 51.66
_cell_angle_gamma 90.00
_space_group_name_H-M_alt 'P 1'
_space_group_IT_number 1
loop_
_space_group_symop_operation_xyz
'x,y,z'
loop_
_atom_site_label
_atom_site_type_symbol
_atom_site_fract_x
_atom_site_fract_y
_atom_site_fract_z
Y1 Y 0.193 0.625 0.250
Y2 Y 0.875 0.807 0.750
Y3 Y 0.375 0.443 0.750
Y4 Y 0.557 0.125 0.250
Bi1 Bi 0.000 0.000 0.000
Bi2 Bi 0.750 0.250 0.500
Mn1 Mn 0.500 0.500 0.000
Mn2 Mn 0.250 0.750 0.500
```

Values from the calculation:
- Density of states at the Fermi level: 6.81 states/eV/cell
- Total energy: -24.780 eV/f.u.
- Energy relative to the elements: 0.300 eV/atom
- Volume: 25.241 Å³ per atom



(7)
## Pm3Sc5S12 (GGA-PBE)

Data for a geometry-optimized Pm3Sc5S12 structure.

Structure (CIF):
```
data_Pm3Sc5S12
_cell_length_a 13.579
_cell_length_b 13.579
_cell_length_c 13.579
_cell_angle_alpha 109.47
_cell_angle_beta 109.47
_cell_angle_gamma 109.47
_space_group_name_H-M_alt 'P 1'
_space_group_IT_number 1
loop_
_space_group_symop_operation_xyz
'x,y,z'
loop_
_atom_site_label
_atom_site_type_symbol
_atom_site_fract_x
_atom_site_fract_y
_atom_site_fract_z
Pm1 Pm 0.125 0.250 0.875
Pm2 Pm 0.250 0.625 0.875
Pm3 Pm 0.875 0.125 0.250
Pm4 Pm 0.125 0.875 0.750
Pm5 Pm 0.375 0.750 0.625
Pm6 Pm 0.875 0.750 0.125
Pm7 Pm 0.625 0.375 0.750
Pm8 Pm 0.625 0.250 0.375
Pm9 Pm 0.750 0.375 0.125
Pm10 Pm 0.375 0.625 0.250
Pm11 Pm 0.750 0.875 0.625
Pm12 Pm 0.250 0.125 0.375
Sc1 Sc 0.000 0.000 0.500
Sc2 Sc 0.375 0.250 0.125
Sc3 Sc 0.000 0.500 0.000
Sc4 Sc 0.000 0.000 0.000
Sc5 Sc 0.000 0.500 0.500
Sc6 Sc 0.750 0.625 0.375
Sc7 Sc 0.875 0.250 0.625
Sc8 Sc 0.500 0.000 0.500
Sc9 Sc 0.500 0.500 0.500
Sc10 Sc 0.750 0.125 0.875
Sc11 Sc 0.500 0.500 0.000
Sc12 Sc 0.625 0.750 0.875
Sc13 Sc 0.125 0.750 0.375
Sc14 Sc 0.375 0.125 0.750
Sc15 Sc 0.250 0.375 0.625
Sc16 Sc 0.125 0.375 0.250
Sc17 Sc 0.625 0.875 0.250
Sc18 Sc 0.500 0.000 0.000
Sc19 Sc 0.250 0.875 0.125
Sc20 Sc 0.875 0.625 0.750
S1 S 0.374 0.412 0.088
S2 S 0.824 0.912 0.286
S3 S 0.538 0.324 0.912
S4 S 0.088 0.176 0.462
S5 S 0.412 0.286 0.324
S6 S 0.626 0.588 0.912
S7 S 0.714 0.588 0.176
S8 S 0.912 0.088 0.626
S9 S 0.126 0.714 0.538
S10 S 0.038 0.412 0.824
S11 S 0.324 0.538 0.412
S12 S 0.714 0.126 0.038
S13 S 0.462 0.786 0.874
S14 S 0.912 0.824 0.786
S15 S 0.214 0.538 0.626
S16 S 0.286 0.874 0.962
S17 S 0.676 0.462 0.588
S18 S 0.786 0.462 0.374
S19 S 0.286 0.412 0.824
S20 S 0.786 0.324 0.912
S21 S 0.412 0.374 0.588
S22 S 0.962 0.588 0.176
S23 S 0.462 0.676 0.088
S24 S 0.588 0.714 0.676
S25 S 0.126 0.412 0.088
S26 S 0.912 0.088 0.874
S27 S 0.374 0.962 0.786
S28 S 0.088 0.912 0.126
S29 S 0.676 0.214 0.588
S30 S 0.588 0.626 0.412
S31 S 0.626 0.038 0.214
S32 S 0.324 0.786 0.412
S33 S 0.088 0.912 0.374
S34 S 0.038 0.626 0.714
S35 S 0.588 0.874 0.412
S36 S 0.874 0.588 0.912
S37 S 0.412 0.126 0.588
S38 S 0.538 0.214 0.126
S39 S 0.874 0.286 0.462
S40 S 0.214 0.676 0.088
S41 S 0.962 0.374 0.286
S42 S 0.088 0.176 0.214
S43 S 0.176 0.088 0.962
S44 S 0.912 0.824 0.538
S45 S 0.824 0.912 0.038
S46 S 0.588 0.962 0.676
S47 S 0.412 0.038 0.324
S48 S 0.176 0.088 0.714
```

Values from the calculation:
- Density of states at the Fermi level: 0.00 states/eV/cell
- Total energy: -132.745 eV/f.u.
- Volume: 24.091 Å³ per atom



(8)
## AgOsW3 (GGA-PBE)

Data for a geometry-optimized AgOsW3 structure.

Structure (CIF):
```
data_AgOsW3
_cell_length_a 4.756
_cell_length_b 4.756
_cell_length_c 4.756
_cell_angle_alpha 90.00
_cell_angle_beta 90.00
_cell_angle_gamma 90.00
_space_group_name_H-M_alt 'P 1'
_space_group_IT_number 1
loop_
_space_group_symop_operation_xyz
'x,y,z'
loop_
_atom_site_label
_atom_site_type_symbol
_atom_site_fract_x
_atom_site_fract_y
_atom_site_fract_z
Os1 Os 0.000 0.000 0.000
W1 W 0.500 0.000 0.000
W2 W 0.000 0.500 0.000
W3 W 0.000 0.000 0.500
Ag1 Ag 0.500 0.500 0.500
```

Values from the calculation:
- Density of states at the Fermi level: 4.75 states/eV/cell
- Total energy: -43.079 eV/f.u.
- Energy relative to the elements: 1.972 eV/atom
- Volume: 21.521 Å³ per atom
- Offset from the most stable computed form: 0.0 meV/atom



(9)
## Sr2TlSbAs (GGA-PBE)

Data for a geometry-optimized Sr2TlSbAs structure.

Structure (CIF):
```
data_Sr2TlSbAs
_cell_length_a 4.603
_cell_length_b 8.986
_cell_length_c 9.405
_cell_angle_alpha 124.03
_cell_angle_beta 90.00
_cell_angle_gamma 90.00
_space_group_name_H-M_alt 'P 1'
_space_group_IT_number 1
loop_
_space_group_symop_operation_xyz
'x,y,z'
loop_
_atom_site_label
_atom_site_type_symbol
_atom_site_fract_x
_atom_site_fract_y
_atom_site_fract_z
Sr1 Sr 0.250 0.289 0.451
Sr2 Sr 0.750 0.711 0.549
Sr3 Sr 0.250 0.137 0.926
Sr4 Sr 0.750 0.863 0.074
As1 As 0.750 0.275 0.217
As2 As 0.250 0.725 0.783
Tl1 Tl 0.250 0.470 0.872
Tl2 Tl 0.750 0.530 0.128
Sb1 Sb 0.750 0.146 0.634
Sb2 Sb 0.250 0.854 0.366
```

Values from the calculation:
- Density of states at the Fermi level: 2.43 states/eV/cell
- Total energy: -18.340 eV/f.u.
- Volume: 32.243 Å³ per atom



(10)
## Th6P2Os3Cl (GGA-PBE)

Data for a geometry-optimized Th6P2Os3Cl structure.

Structure (CIF):
```
data_Th6P2Os3Cl
_cell_length_a 4.102
_cell_length_b 8.600
_cell_length_c 9.465
_cell_angle_alpha 106.24
_cell_angle_beta 102.51
_cell_angle_gamma 90.00
_space_group_name_H-M_alt 'P 1'
_space_group_IT_number 1
loop_
_space_group_symop_operation_xyz
'x,y,z'
loop_
_atom_site_label
_atom_site_type_symbol
_atom_site_fract_x
_atom_site_fract_y
_atom_site_fract_z
P1 P 0.164 0.327 0.329
P2 P 0.836 0.673 0.671
Os1 Os 0.500 0.500 0.000
Os2 Os 0.836 0.168 0.672
Os3 Os 0.164 0.832 0.328
Cl1 Cl 0.500 0.000 0.000
Th1 Th 0.997 0.276 0.993
Th2 Th 0.664 0.591 0.327
Th3 Th 0.678 0.075 0.356
Th4 Th 0.003 0.724 0.007
Th5 Th 0.336 0.409 0.673
Th6 Th 0.322 0.925 0.644
```

Values from the calculation:
- Density of states at the Fermi level: 5.30 states/eV/cell
- Total energy: -100.852 eV/f.u.
- Volume: 26.022 Å³ per atom



(11)
## ZnFeS (GGA-PBE)

Data for a geometry-optimized ZnFeS structure.

Structure (CIF):
```
data_ZnFeS
_cell_length_a 3.434
_cell_length_b 4.088
_cell_length_c 7.441
_cell_angle_alpha 90.00
_cell_angle_beta 90.00
_cell_angle_gamma 114.83
_space_group_name_H-M_alt 'P 1'
_space_group_IT_number 1
loop_
_space_group_symop_operation_xyz
'x,y,z'
loop_
_atom_site_label
_atom_site_type_symbol
_atom_site_fract_x
_atom_site_fract_y
_atom_site_fract_z
Fe1 Fe 0.925 0.851 0.000
Fe2 Fe 0.404 0.807 0.500
Zn1 Zn 0.230 0.461 0.167
Zn2 Zn 0.230 0.461 0.833
S1 S 0.939 0.877 0.304
S2 S 0.939 0.877 0.696
```

Values from the calculation:
- Density of states at the Fermi level: 3.59 states/eV/cell
- Total energy: -13.747 eV/f.u.
- Volume: 15.799 Å³ per atom



(12)
## La2TmTl (GGA-PBE)

Data for a geometry-optimized La2TmTl structure.

Structure (CIF):
```
data_La2TmTl
_cell_length_a 3.698
_cell_length_b 3.698
_cell_length_c 11.473
_cell_angle_alpha 80.68
_cell_angle_beta 80.68
_cell_angle_gamma 59.96
_space_group_name_H-M_alt 'P 1'
_space_group_IT_number 1
loop_
_space_group_symop_operation_xyz
'x,y,z'
loop_
_atom_site_label
_atom_site_type_symbol
_atom_site_fract_x
_atom_site_fract_y
_atom_site_fract_z
La1 La 0.082 0.082 0.755
La2 La 0.252 0.252 0.245
Tm1 Tm 0.500 0.500 0.500
Tl1 Tl 0.666 0.666 0.000
```

Values from the calculation:
- Density of states at the Fermi level: 6.13 states/eV/cell
- Total energy: -17.048 eV/f.u.
- Energy relative to the elements: -0.089 eV/atom
- Volume: 33.363 Å³ per atom
- Offset from the most stable computed form: 111.8 meV/atom